Entry 1:
DFT (PBE) results for an optimized crystal structure of Dy2Ta2Ni15.

abc: 6.3744 6.3744 6.3744
angles: 81.95 81.95 81.95
Closest atoms and distances in Å follow each position.
Fractional coordinates of all 19 atoms:
Dy1 0.3507 0.3507 0.3507  15 Ni 2.95-3.24, 1 Ta 3.09
Dy2 0.6493 0.6493 0.6493  15 Ni 2.95-3.24, 1 Ta 3.09
Ta1 0.1033 0.1033 0.1033  12 Ni 2.54-2.82, 1 Ta 2.58
Ta2 0.8967 0.8967 0.8967  12 Ni 2.54-2.82, 1 Ta 2.58
Ni1 0.5000 0.0000 0.0000  8 Ni 2.42-2.44, 2 Ta 2.54
Ni2 0.0000 0.0000 0.5000  8 Ni 2.42-2.44, 2 Ta 2.54
Ni3 0.0000 0.5000 0.0000  8 Ni 2.42-2.44, 2 Ta 2.54
Ni4 0.0000 0.7004 0.2996  8 Ni 2.44-2.57
Ni5 0.7004 0.2996 0.0000  8 Ni 2.44-2.57
Ni6 0.2996 0.0000 0.7004  8 Ni 2.44-2.57
Ni7 0.2996 0.7004 0.0000  8 Ni 2.44-2.57
Ni8 0.7004 0.0000 0.2996  8 Ni 2.44-2.57
Ni9 0.0000 0.2996 0.7004  8 Ni 2.44-2.57
Ni10 0.1567 0.6549 0.6549  8 Ni 2.42-2.57, 1 Ta 2.59
Ni11 0.6549 0.6549 0.1567  8 Ni 2.42-2.57, 1 Ta 2.59
Ni12 0.6549 0.1567 0.6549  8 Ni 2.42-2.57, 1 Ta 2.59
Ni13 0.8433 0.3451 0.3451  8 Ni 2.42-2.57, 1 Ta 2.59
Ni14 0.3451 0.3451 0.8433  8 Ni 2.42-2.57, 1 Ta 2.59
Ni15 0.3451 0.8433 0.3451  8 Ni 2.42-2.57, 1 Ta 2.59

Results
energy relative to the elements: -265 meV per atom
M_tot: 0.000 μB per cell

***

Entry 2:
DFT (PBE) results for an optimized crystal structure of LuFeCoSn.

abc: 4.4654 4.4654 4.4654
angles: 60.00 60.00 60.00
Closest atoms and distances in Å follow each position.
Fractional coordinates of all 4 atoms:
Lu1 0.7500 0.7500 0.7500  4 Co 2.73, 4 Fe 2.73
Co1 0.5000 0.5000 0.5000  4 Lu 2.73, 4 Sn 2.73
Sn1 0.2500 0.2500 0.2500  4 Fe 2.73, 4 Co 2.73
Fe1 0.0000 0.0000 0.0000  4 Lu 2.73, 4 Sn 2.73

Results
energy relative to the elements: -184 meV per atom
M_tot: 0.000 μB per cell

***

Entry 3:
DFT (PBE) results for an optimized crystal structure of Pm2Sm5Sc2.

abc: 8.1421 8.6388 9.4032
angles: 117.35 90.00 90.00
Closest atoms and distances in Å follow each position.
Fractional coordinates of all 18 atoms:
Pm1 0.0000 0.2154 0.4307  7 Sm 3.33-3.60
Pm2 0.5000 0.7154 0.4307  7 Sm 3.33-3.60
Pm3 0.0000 0.7846 0.5693  7 Sm 3.33-3.60
Pm4 0.5000 0.2846 0.5693  7 Sm 3.33-3.60
Sm1 0.0000 0.0000 0.0000  4 Sc 3.25-3.39, 2 Pm 3.60
Sm2 0.5000 0.5000 0.0000  4 Sc 3.25-3.39, 2 Pm 3.60
Sm3 0.8201 0.8175 0.2660  3 Sc 3.20-3.51, 3 Pm 3.33-3.39
Sm4 0.1799 0.4485 0.2660  3 Sc 3.20-3.51, 3 Pm 3.33-3.39
Sm5 0.3201 0.9485 0.2660  3 Sc 3.20-3.51, 3 Pm 3.33-3.39
Sm6 0.6799 0.3175 0.2660  3 Sc 3.20-3.51, 3 Pm 3.33-3.39
Sm7 0.1799 0.1825 0.7340  3 Sc 3.20-3.51, 3 Pm 3.33-3.39
Sm8 0.8201 0.5515 0.7340  3 Sc 3.20-3.51, 3 Pm 3.33-3.39
Sm9 0.6799 0.0515 0.7340  3 Sc 3.20-3.51, 3 Pm 3.33-3.39
Sm10 0.3201 0.6825 0.7340  3 Sc 3.20-3.51, 3 Pm 3.33-3.39
Sc1 0.6233 0.8752 0.0000  1 Sc 2.95, 3 Sm 3.20-3.25
Sc2 0.3767 0.1248 0.0000  1 Sc 2.95, 3 Sm 3.20-3.25
Sc3 0.1233 0.6248 0.0000  1 Sc 2.95, 3 Sm 3.20-3.25
Sc4 0.8767 0.3752 0.0000  1 Sc 2.95, 3 Sm 3.20-3.25

Results
offset from the most stable computed form: 0.212 eV/atom
energy relative to the elements: 243 meV per atom
M_tot: 0.000 μB per cell

***

Entry 4:
DFT (PBE) results for an optimized crystal structure of NpZnGaSn.

abc: 4.3621 4.3134 4.5151
angles: 90.00 90.00 90.00
Closest atoms and distances in Å follow each position.
Fractional coordinates of all 4 atoms:
Np1 0.5000 0.5000 0.0000  4 Ga 3.07, 4 Sn 3.12, 4 Zn 3.14
Zn1 0.0000 0.5000 0.5000  4 Sn 3.07, 4 Ga 3.12, 4 Np 3.14
Ga1 0.0000 0.0000 0.0000  4 Np 3.07, 4 Zn 3.12, 4 Sn 3.14
Sn1 0.5000 0.0000 0.5000  4 Zn 3.07, 4 Np 3.12, 4 Ga 3.14

Results
offset from the most stable computed form: 0.000 eV/atom
energy relative to the elements: -82 meV per atom
M_tot: 4.013 μB per cell

***

Entry 5:
DFT (PBE) results for an optimized crystal structure of Sm3Er3Cd2.

abc: 5.2434 6.4022 15.7620
angles: 90.00 90.00 114.17
Closest atoms and distances in Å follow each position.
Fractional coordinates of all 16 atoms:
Sm1 0.9608 0.9216 0.3939  1 Cd 3.22, 4 Er 3.47-3.56, 2 Sm 3.47-3.48
Sm2 0.0392 0.0784 0.8939  1 Cd 3.22, 4 Er 3.47-3.56, 2 Sm 3.47-3.48
Sm3 0.9608 0.9216 0.1061  1 Cd 3.22, 4 Er 3.47-3.56, 2 Sm 3.47-3.48
Sm4 0.0392 0.0784 0.6061  1 Cd 3.22, 4 Er 3.47-3.56, 2 Sm 3.47-3.48
Sm5 0.7344 0.4688 0.2500  4 Cd 3.20, 3 Er 3.28-3.55, 2 Sm 3.48
Sm6 0.2656 0.5312 0.7500  4 Cd 3.20, 3 Er 3.28-3.55, 2 Sm 3.48
Er1 0.6435 0.2870 0.4648  3 Cd 3.02-3.22
Er2 0.3565 0.7130 0.9648  3 Cd 3.02-3.22
Er3 0.6435 0.2870 0.0352  3 Cd 3.02-3.22
Er4 0.3565 0.7130 0.5352  3 Cd 3.02-3.22
Er5 0.4540 0.9080 0.2500  2 Cd 3.16, 5 Sm 3.28-3.47
Er6 0.5460 0.0920 0.7500  2 Cd 3.16, 5 Sm 3.28-3.47
Cd1 0.7662 0.5324 0.8663  4 Er 3.02-3.22, 3 Sm 3.20-3.22
Cd2 0.2338 0.4676 0.3663  4 Er 3.02-3.22, 3 Sm 3.20-3.22
Cd3 0.7662 0.5324 0.6337  4 Er 3.02-3.22, 3 Sm 3.20-3.22
Cd4 0.2338 0.4676 0.1337  4 Er 3.02-3.22, 3 Sm 3.20-3.22

Results
energy relative to the elements: -64 meV per atom
M_tot: 0.000 μB per cell

***

Entry 6:
DFT (PBE) results for an optimized crystal structure of LaPaTe6.

abc: 13.4522 13.4522 4.4488
angles: 90.00 90.00 160.97
Closest atoms and distances in Å follow each position.
Fractional coordinates of all 8 atoms:
La1 0.1705 0.8295 0.0000  9 Te 3.32-3.38
Pa1 0.8317 0.1683 0.5000  9 Te 3.20-3.27
Te1 0.4187 0.5813 0.5000  4 Te 3.15, 2 Pa 3.20
Te2 0.5760 0.4240 0.0000  4 Te 3.15, 2 La 3.35
Te3 0.7106 0.2894 0.5000  1 Pa 3.21, 4 La 3.32
Te4 0.2979 0.7021 0.0000  4 Pa 3.27, 1 La 3.38
Te5 0.0759 0.9241 0.5000  4 Te 3.15, 2 La 3.35
Te6 0.9187 0.0813 0.0000  4 Te 3.15, 2 Pa 3.21

Results
M_tot: 0.850 μB per cell
energy relative to the elements, uncorrected: -0.89 eV/atom

***

Entry 7:
DFT (PBE) results for an optimized crystal structure of TbSm2HoSb4.

abc: 4.4310 7.6707 7.6679
angles: 109.48 90.00 90.00
Closest atoms and distances in Å follow each position.
Fractional coordinates of all 8 atoms:
Tb1 0.5000 0.5000 0.0000  6 Sb 3.11
Sm1 0.5000 0.0000 0.5000  6 Sb 3.15
Sm2 0.0000 0.5000 0.5000  6 Sb 3.16
Ho1 0.0000 0.0000 0.0000  6 Sb 3.10
Sb1 0.5000 0.2470 0.2440  2 Ho 3.10, 1 Tb 3.11, 3 Sm 3.15-3.16
Sb2 0.5000 0.7530 0.7560  2 Ho 3.10, 1 Tb 3.11, 3 Sm 3.15-3.16
Sb3 0.0000 0.2507 0.7552  1 Ho 3.10, 2 Tb 3.11, 3 Sm 3.15-3.16
Sb4 0.0000 0.7493 0.2448  1 Ho 3.10, 2 Tb 3.11, 3 Sm 3.15-3.16

Results
M_tot: 0.000 μB per cell
energy relative to the elements, uncorrected: -1.15 eV/atom

***

Entry 8:
DFT (PBE) results for an optimized crystal structure of Tb2NdHo.

abc: 5.7145 7.3048 6.3123
angles: 90.00 90.00 90.00
Closest atoms and distances in Å follow each position.
Fractional coordinates of all 8 atoms:
Tb1 0.2500 0.4989 0.1655  4 Tb 3.54-3.67, 4 Ho 3.55-3.66, 4 Nd 3.56-3.65
Tb2 0.7500 0.5011 0.8345  4 Tb 3.54-3.67, 4 Ho 3.55-3.66, 4 Nd 3.56-3.65
Tb3 0.7500 0.9989 0.8345  4 Tb 3.54-3.67, 4 Ho 3.55-3.66, 4 Nd 3.56-3.65
Tb4 0.2500 0.0011 0.1655  4 Tb 3.54-3.67, 4 Ho 3.55-3.66, 4 Nd 3.56-3.65
Nd1 0.2500 0.2500 0.6661  4 Ho 3.55-3.65, 8 Tb 3.56-3.65
Nd2 0.7500 0.7500 0.3339  4 Ho 3.55-3.65, 8 Tb 3.56-3.65
Ho1 0.7500 0.2500 0.3319  8 Tb 3.55-3.66, 4 Nd 3.55-3.65
Ho2 0.2500 0.7500 0.6681  8 Tb 3.55-3.66, 4 Nd 3.55-3.65

Results
offset from the most stable computed form: 0.011 eV/atom
energy relative to the elements: 18 meV per atom
M_tot: 0.000 μB per cell

***

Number 1: energy -124.667 eV/f.u.. Number 2: energy -24.829 eV/f.u.. Number 3: energy -43.577 eV/f.u.. Number 4: energy -21.574 eV/f.u.. Number 5: energy -30.192 eV/f.u.. Number 6: energy -40.421 eV/f.u.. Number 7: energy -44.358 eV/f.u.. Number 8: energy -18.536 eV/f.u..